Computed, not measured: crystalline Cs2Th2I7 at its relaxed geometry at the GGA-PBE level of DFT.

Results
Uncorrected formation energy (eV per atom): -1.084
DOS at the Fermi energy (states/eV/f.u.): 5.8
Calculated total energy (eV per atom): -3.575
SG: C2/m (12)
Density (g cm⁻³): 5.07

The structure in POSCAR format:
```
Cs2Th2I7
1.0
-3.4387 4.7637 -4.5976
5.2712 -3.1205 -4.2582
-6.5604 -7.3046 -1.3250
I Cs Th
7 2 2
Direct
0.5341 0.2093 0.8320
0.7907 0.4659 0.1680
0.7209 0.7209 0.6064
0.0000 0.0000 0.0000
0.2791 0.2791 0.3936
0.2093 0.5341 0.8320
0.4659 0.7907 0.1680
0.7798 0.2202 0.5000
0.2202 0.7798 0.5000
0.3437 0.3437 0.0844
0.6563 0.6563 0.9156
```